# GeTeAs2Se, optimized geometry, DFT PBE
data_GeTeAs2Se
_symmetry_space_group_name_H-M 'P 4/m m m'
_symmetry_Int_Tables_number 123
_symmetry_space_group_name_Hall '-P 4 2'
_cell_length_a 5.3088
_cell_length_b 5.3088
_cell_length_c 5.3207
_cell_angle_alpha 90.00
_cell_angle_beta 90.00
_cell_angle_gamma 90.00
loop_
_atom_site_label
_atom_site_fract_x
_atom_site_fract_y
_atom_site_fract_z
_atom_site_occupancy
Ge1 0.0000 0.0000 0.0000 1
Te1 0.5000 0.5000 0.5000 1
As1 0.0000 0.5000 0.5000 1
Se1 0.5000 0.5000 0.0000 1
# Spin magnetization in μB/cell: 0.0
# Energy in Ry/atom: -0.2308
# Formation energy from raw total energies in eV per formula unit: 4.844
# Crystal system: tetragonal

---

# GeTeAs2Se, optimized geometry, DFT PBE
data_GeTeAs2Se
_symmetry_space_group_name_H-M 'P 4/m m m'
_symmetry_Int_Tables_number 123
_symmetry_space_group_name_Hall '-P 4 2'
_cell_length_a 5.0247
_cell_length_b 5.0247
_cell_length_c 4.8937
_cell_angle_alpha 90.00
_cell_angle_beta 90.00
_cell_angle_gamma 90.00
loop_
_atom_site_label
_atom_site_fract_x
_atom_site_fract_y
_atom_site_fract_z
_atom_site_occupancy
Ge1 0.0000 0.0000 0.0000 1
Te1 0.5000 0.5000 0.5000 1
As1 0.0000 0.5000 0.0000 1
Se1 0.0000 0.0000 0.5000 1
# Spin magnetization in μB/cell: 0.0
# Energy in Ry/atom: -0.2567
# Formation energy from raw total energies in eV per formula unit: 3.080
# Crystal system: tetragonal

---

# GeTeAsSe2, optimized geometry, DFT PBE
data_GeTeAsSe2
_symmetry_space_group_name_H-M 'P 4/m m m'
_symmetry_Int_Tables_number 123
_symmetry_space_group_name_Hall '-P 4 2'
_cell_length_a 5.3180
_cell_length_b 5.3180
_cell_length_c 5.3108
_cell_angle_alpha 90.00
_cell_angle_beta 90.00
_cell_angle_gamma 90.00
loop_
_atom_site_label
_atom_site_fract_x
_atom_site_fract_y
_atom_site_fract_z
_atom_site_occupancy
Ge1 0.0000 0.0000 0.0000 1
Te1 0.5000 0.5000 0.5000 1
As1 0.5000 0.5000 0.0000 1
Se1 0.0000 0.5000 0.5000 1
# Spin magnetization in μB/cell: 0.0
# Energy in Ry/atom: -0.2275
# Formation energy from raw total energies in eV per formula unit: 3.902
# Crystal system: tetragonal

---

# GeTeAsSe2, optimized geometry, DFT PBE
data_GeTeAsSe2
_symmetry_space_group_name_H-M 'P 4/m m m'
_symmetry_Int_Tables_number 123
_symmetry_space_group_name_Hall '-P 4 2'
_cell_length_a 4.9512
_cell_length_b 4.9512
_cell_length_c 5.0744
_cell_angle_alpha 90.00
_cell_angle_beta 90.00
_cell_angle_gamma 90.00
loop_
_atom_site_label
_atom_site_fract_x
_atom_site_fract_y
_atom_site_fract_z
_atom_site_occupancy
Ge1 0.0000 0.0000 0.0000 1
Te1 0.5000 0.5000 0.5000 1
As1 0.0000 0.0000 0.5000 1
Se1 0.0000 0.5000 0.0000 1
# Spin magnetization in μB/cell: 0.0
# Energy in Ry/atom: -0.2465
# Formation energy from raw total energies in eV per formula unit: 2.610
# Crystal system: tetragonal

---

What did the first record say?
# GeTeAs2Se, optimized geometry, DFT PBE
data_GeTeAs2Se
_symmetry_space_group_name_H-M 'P 4/m m m'
_symmetry_Int_Tables_number 123
_symmetry_space_group_name_Hall '-P 4 2'
_cell_length_a 5.3088
_cell_length_b 5.3088
_cell_length_c 5.3207
_cell_angle_alpha 90.00
_cell_angle_beta 90.00
_cell_angle_gamma 90.00
loop_
_atom_site_label
_atom_site_fract_x
_atom_site_fract_y
_atom_site_fract_z
_atom_site_occupancy
Ge1 0.0000 0.0000 0.0000 1
Te1 0.5000 0.5000 0.5000 1
As1 0.0000 0.5000 0.5000 1
Se1 0.5000 0.5000 0.0000 1
# Spin magnetization in μB/cell: 0.0
# Energy in Ry/atom: -0.2308
# Formation energy from raw total energies in eV per formula unit: 4.844
# Crystal system: tetragonal